(1)
Here is a geometry-optimized Li12HoPd6 structure from Alexandria. Energies are from PBE-GGA.

Summary:
density of states at the Fermi level: 0.247 states/eV per atom
formation energy: -596 kJ/mol of formula units
magnetic moment: 0.0000 μB per atom
SG: R-3

extended XYZ file:
```
19
Lattice="4.7918 2.7666 4.0390 -4.7918 2.7666 4.0390 0.0000 -5.5331 4.0390" Properties=species:S:1:pos:R:3 pbc="T T T"
Li -1.4331 -4.1490 5.0336
Li -4.3097 -0.8334 7.0833
Li -1.1673 -1.4298 3.6885
Li -2.8766 3.3156 5.0336
Li -0.6546 1.7258 3.6885
Li 1.8219 -0.2960 3.6885
Li -1.8219 0.2960 8.4284
Li 0.6546 -1.7258 8.4284
Li 2.8766 -3.3156 7.0833
Li 1.1673 1.4298 8.4284
Li 4.3097 0.8334 5.0336
Li 1.4331 4.1490 7.0833
Ho 0.0000 0.0000 6.0584
Pd -1.9670 -1.8847 6.5024
Pd -2.6157 0.7612 5.6144
Pd 0.6486 -2.6458 5.6144
Pd -0.6486 2.6458 6.5024
Pd 2.6157 -0.7612 6.5024
Pd 1.9670 1.8846 5.6144
```

=====

(2)
Here is a geometry-optimized ReNiMoRu2 structure from Alexandria. Energies are from PBE-GGA.

Summary:
density of states at the Fermi level: 1.502 states/eV per atom
formation energy: 849 kJ/mol of formula units
magnetic moment: 0.5966 μB per atom
SG: P4/mmm

extended XYZ file:
```
5
Lattice="4.6318 0.0000 0.0000 0.0000 4.6318 0.0000 0.0000 0.0000 4.4644" Properties=species:S:1:pos:R:3 pbc="T T T"
Re 0.0000 0.0000 0.0000
Ni 0.0000 0.0000 2.2322
Mo 2.3159 2.3159 2.2322
Ru 0.0000 2.3159 0.0000
Ru 2.3159 0.0000 0.0000
```

=====

(3)
Here is a geometry-optimized Y2TmCd4 structure from Alexandria. Energies are from PBE-GGA.

Summary:
density of states at the Fermi level: 0.704 states/eV per atom
formation energy: -114 kJ/mol of formula units
magnetic moment: 0.0003 μB per atom
SG: I4/mmm

extended XYZ file:
```
14
Lattice="5.3200 0.0000 0.0000 0.0000 5.3200 0.0000 0.0000 0.0000 13.6908" Properties=species:S:1:pos:R:3 pbc="T T T"
Y 0.0000 0.0000 3.3002
Y 0.0000 0.0000 10.3906
Y 2.6600 2.6600 3.5452
Y 2.6600 2.6600 10.1456
Tm 0.0000 0.0000 6.8454
Tm 2.6600 2.6600 0.0000
Cd 0.0000 2.6600 1.5518
Cd 0.0000 2.6600 5.2936
Cd 0.0000 2.6600 8.3972
Cd 0.0000 2.6600 12.1390
Cd 2.6600 0.0000 1.5518
Cd 2.6600 0.0000 5.2936
Cd 2.6600 0.0000 8.3972
Cd 2.6600 0.0000 12.1390
```

=====

(4)
Here is a geometry-optimized Tb2Ce2CuSi4 structure from Alexandria. Energies are from PBE-GGA.

Summary:
density of states at the Fermi level: 1.177 states/eV per atom
formation energy from raw total energies: -0.2603 eV per atom
magnetic moment: 0.2388 μB per atom
SG: I4/mmm

extended XYZ file:
```
9
Lattice="-3.4410 3.4410 4.1555 3.4410 -3.4410 4.1555 3.4410 3.4410 -4.1555" Properties=species:S:1:pos:R:3 pbc="T T T"
Tb 3.4410 0.0000 2.0777
Tb 0.0000 3.4410 2.0777
Ce 0.0000 0.0000 1.4508
Ce 0.0000 0.0000 6.8602
Cu 0.0000 0.0000 4.1555
Si 1.8314 1.8314 0.0000
Si 1.6096 -1.6096 4.1555
Si -1.6096 1.6096 4.1555
Si 1.6096 1.6096 4.1555
```

=====

(5)
Here is a geometry-optimized Pr2Y7Sc structure from Alexandria. Energies are from PBE-GGA.

Summary:
density of states at the Fermi level: 1.639 states/eV per atom
formation energy: 169 kJ/mol of formula units
magnetic moment: 0.0000 μB per atom
SG: Cmmm

extended XYZ file:
```
10
Lattice="3.2703 -14.4556 0.0000 3.2703 14.4556 0.0000 0.0000 0.0000 3.4816" Properties=species:S:1:pos:R:3 pbc="T T T"
Pr 3.2703 8.4877 0.0000
Pr 3.2703 -8.4877 0.0000
Y 0.0000 0.0000 0.0000
Y 1.6823 2.7583 0.0000
Y 3.2703 5.3339 1.7408
Y 1.6823 -2.7583 0.0000
Y 4.8583 2.7583 0.0000
Y 3.2703 -5.3339 1.7408
Y 4.8583 -2.7583 0.0000
Sc 3.2703 0.0000 1.7408
```

=====

(6)
Here is a geometry-optimized Ac4LaIn3 structure from Alexandria. Energies are from PBE-GGA.

Summary:
density of states at the Fermi level: 1.249 states/eV per atom
formation energy: -213 kJ/mol of formula units
magnetic moment: 0.1531 μB per atom
SG: P4/mmm

extended XYZ file:
```
8
Lattice="5.3873 0.0000 0.0000 0.0000 5.3873 0.0000 0.0000 0.0000 9.8477" Properties=species:S:1:pos:R:3 pbc="T T T"
Ac 0.0000 2.6936 2.3006
Ac 0.0000 2.6936 7.5471
Ac 2.6936 0.0000 2.3006
Ac 2.6936 0.0000 7.5471
La 0.0000 0.0000 4.9239
In 0.0000 0.0000 0.0000
In 2.6936 2.6936 0.0000
In 2.6936 2.6936 4.9239
```

=====

(7)
Here is a geometry-optimized ScBeFe2 structure from Alexandria. Energies are from PBE-GGA.

Summary:
density of states at the Fermi level: 0.955 states/eV per atom
formation energy: 70 kJ/mol of formula units
magnetic moment: 0.7588 μB per atom
SG: C2/m

extended XYZ file:
```
8
Lattice="5.1508 0.0000 0.0000 0.0000 8.1248 0.0000 -1.0294 0.0000 2.4298" Properties=species:S:1:pos:R:3 pbc="T T T"
Sc 0.0000 0.0000 0.0000
Sc 2.5754 4.0624 0.0000
Be 0.0000 4.0624 0.0000
Be 2.5754 0.0000 0.0000
Fe 0.7730 2.0312 1.2149
Fe 0.7730 6.0936 1.2149
Fe 3.3484 2.0312 1.2149
Fe 3.3484 6.0936 1.2149
```

=====

(8)
Here is a geometry-optimized Rb2CePdS4 structure from Alexandria. Energies are from PBE-GGA.

Summary:
formation energy from raw total energies: -1.0570 eV per atom
magnetic moment: 0.0000 μB per atom
SG: I-4

extended XYZ file:
```
16
Lattice="7.5923 0.0000 0.0000 0.0000 7.5923 0.0000 0.0000 0.0000 8.2313" Properties=species:S:1:pos:R:3 pbc="T T T"
Rb 0.0000 0.0000 0.0000
Rb 0.0000 3.7961 2.0578
Rb 3.7961 0.0000 6.1735
Rb 3.7961 3.7961 4.1157
Ce 0.0000 0.0000 4.1157
Ce 3.7961 3.7961 0.0000
Pd 0.0000 3.7961 6.1735
Pd 3.7961 0.0000 2.0578
S 1.1715 5.7766 5.6341
S 1.8157 1.1715 2.5972
S 1.9804 2.6247 6.7129
S 2.6247 5.6118 1.5184
S 4.9676 1.9804 1.5184
S 5.6118 4.9676 6.7129
S 5.7766 6.4208 2.5972
S 6.4208 1.8157 5.6341
```

=====

(9)
Here is a geometry-optimized Sm5Mg4Pd structure from Alexandria. Energies are from PBE-GGA.

Summary:
density of states at the Fermi level: 0.889 states/eV per atom
formation energy: -228 kJ/mol of formula units
magnetic moment: 0.0000 μB per atom
SG: P4/mmm

extended XYZ file:
```
10
Lattice="3.7847 0.0000 0.0000 0.0000 3.7847 0.0000 0.0000 0.0000 18.9782" Properties=species:S:1:pos:R:3 pbc="T T T"
Sm 0.0000 0.0000 0.0000
Sm 0.0000 0.0000 3.9161
Sm 0.0000 0.0000 7.8338
Sm 0.0000 0.0000 11.1443
Sm 0.0000 0.0000 15.0621
Mg 1.8924 1.8924 1.9648
Mg 1.8924 1.8924 5.8321
Mg 1.8924 1.8924 13.1460
Mg 1.8924 1.8924 17.0133
Pd 1.8924 1.8924 9.4891
```

=====

(10)
Here is a geometry-optimized HfRe3Te structure from Alexandria. Energies are from PBE-GGA.

Summary:
density of states at the Fermi level: 0.920 states/eV per atom
formation energy from raw total energies: 1.9841 eV per atom
magnetic moment: 0.0000 μB per atom
SG: Pm-3m
energy above the most stable polymorph in this dataset: 0.000 eV per formula unit

extended XYZ file:
```
5
Lattice="4.7642 0.0000 0.0000 0.0000 4.7642 0.0000 0.0000 0.0000 4.7642" Properties=species:S:1:pos:R:3 pbc="T T T"
Hf 0.0000 0.0000 0.0000
Re 0.0000 2.3821 2.3821
Re 2.3821 0.0000 2.3821
Re 2.3821 2.3821 0.0000
Te 2.3821 2.3821 2.3821
```

=====

(11)
Here is a geometry-optimized EuDyLu4 structure from Alexandria. Energies are from PBE-GGA.

Summary:
density of states at the Fermi level: 1.694 states/eV per atom
formation energy: 155 kJ/mol of formula units
magnetic moment: 1.2555 μB per atom
SG: F-43m

extended XYZ file:
```
6
Lattice="0.0000 4.6523 4.6523 4.6523 0.0000 4.6523 4.6523 4.6523 0.0000" Properties=species:S:1:pos:R:3 pbc="T T T"
Eu 0.0000 0.0000 0.0000
Dy 2.3262 2.3262 2.3262
Lu 5.8053 3.4994 3.4994
Lu 3.4994 5.8053 3.4994
Lu 3.4994 3.4994 5.8053
Lu 5.8053 5.8053 5.8053
```

=====

(12)
Here is a geometry-optimized KZn7Au12 structure from Alexandria. Energies are from PBE-GGA.

Summary:
density of states at the Fermi level: 0.296 states/eV per atom
formation energy: -162 kJ/mol of formula units
magnetic moment: 0.0000 μB per atom
SG: Im-3

extended XYZ file:
```
20
Lattice="-4.7955 4.7955 4.7955 4.7955 -4.7955 4.7955 4.7955 4.7955 -4.7955" Properties=species:S:1:pos:R:3 pbc="T T T"
K 0.0000 0.0000 0.0000
Zn 2.3978 2.3978 -2.3978
Zn 2.3978 -2.3978 2.3978
Zn 4.7955 0.0000 0.0000
Zn -2.3978 2.3978 2.3978
Zn 0.0000 4.7955 0.0000
Zn 0.0000 0.0000 4.7955
Zn 2.3978 2.3978 2.3978
Au 4.7955 2.4159 -1.4209
Au 3.3746 0.0000 2.3797
Au 6.2165 0.0000 2.3797
Au 2.3797 3.3746 0.0000
Au 2.4159 -1.4209 4.7955
Au 4.7955 2.4159 1.4209
Au 0.0000 2.3797 3.3746
Au 2.3797 6.2165 0.0000
Au 2.4159 1.4209 4.7955
Au -1.4209 4.7955 2.4159
Au 1.4209 4.7955 2.4159
Au 0.0000 2.3797 6.2165
```

=====

Q: What is the magnetic moment in the eleventh record?
A: 1.2555 μB per atom

=====

Q: Which formula does entry 10 have?
A: HfRe3Te

=====

Q: Which value of magnetic moment does entry 8 give?
A: 0.0000 μB per atom